## PaCo2BiO8 (PBE+U)

Data for crystalline PaCo2BiO8 at its relaxed geometry.

Results
Uncorrected energy (eV for the cell shown): -164.5
V (A^3/atom): 13.8

abc: 7.1121 7.1121 6.5559
angles: 90.00 90.00 90.00
Closest atoms and distances in Å follow each position.
Space group I-4m2 (No. 119)
Inequivalent atoms, fractional coordinates:
1 Pa 0.0000 0.0000 0.0000  8 O 2.22-2.41
2 Co 0.0000 0.0000 0.5000  4 O 1.78
3 Co 0.0000 0.5000 0.7500  4 O 1.84
4 Bi 0.0000 0.5000 0.2500  8 O 2.31-2.48
5 O 0.0000 0.1800 0.3122  1 Co 1.78
6 O 0.0000 0.3067 0.9357  1 Co 1.84